Crystalline KWBr2 at its relaxed geometry. Source: Alexandria, functional GGA-PBEsol.

Excess energy over the best structure of this formula in the dataset ... 0.410 eV per formula unit
ΔE_f (raw) ... 533 meV/atom
Calculated volume ... 22.00 Å³/atom
Calculated density ... 7.22 Mg/m³
DFT total energy ... -16.551 eV per formula unit
Density of states at the Fermi level ... 3.57 states/eV per cell
Magnetization ... 0.564 μB/atom

```
data_KWBr2
_cell_length_a 3.3538
_cell_length_b 3.3538
_cell_length_c 7.8251
_cell_angle_alpha 90.00
_cell_angle_beta 90.00
_cell_angle_gamma 90.00
_symmetry_space_group_name_H-M 'P 1'
_symmetry_Int_Tables_number 1
loop_
_symmetry_equiv_pos_as_xyz
'x,y,z'
loop_
_atom_site_label
_atom_site_type_symbol
_atom_site_fract_x
_atom_site_fract_y
_atom_site_fract_z
_atom_site_occupancy
Br1 Br 0.0000 0.0000 0.2946 1
Br2 Br 0.0000 0.0000 0.7054 1
K1 K 0.5000 0.5000 0.0000 1
W1 W 0.5000 0.5000 0.5000 1
```